8
Lattice="-2.394 -3.845 2.304 5.461 -2.874 0.879 -2.178 3.940 4.311" Properties=species:S:1:pos:R:3 comment="PBEsol Hf3Pb, optimized geometry" e_tot_ev_per_atom=-8.938 pbc="T T T"
Hf 1.251 0.401 4.772
Hf -0.417 -0.141 2.134
Hf -1.524 1.862 4.325
Hf -0.362 -3.180 2.723
Hf 1.306 -2.638 5.361
Hf 2.413 -4.641 3.170
Pb -1.427 -1.215 4.895
Pb 2.316 -1.564 2.599